No. 1
# BaAlNi4O7

BaAlNi4O7 after structural relaxation (PBE+U, the Alexandria database).

Cell: 5.9897 5.9897 10.1418 Å, 90.00 90.00 120.00°
Each line ends with the local moment (μB).
Atoms (fractional coordinates):
Ba 0.6667 0.3333 0.4903  -0.01
Ba 0.3333 0.6667 0.9903  -0.01
Al 0.6667 0.3333 0.8700  0.01
Al 0.3333 0.6667 0.3700  0.01
Ni 0.8262 0.1738 0.1902  1.77
Ni 0.6524 0.8262 0.6902  1.77
Ni 0.1738 0.3476 0.6902  1.77
Ni 0.8262 0.6524 0.1902  1.77
Ni 0.3476 0.1738 0.1902  1.77
Ni 0.1738 0.8262 0.6902  1.77
Ni 0.0000 0.0000 0.4426  2.01
Ni 0.0000 0.0000 0.9426  2.01
O 0.8250 0.1750 0.9942  0.22
O 0.6500 0.8250 0.4942  0.22
O 0.1750 0.3500 0.4942  0.22
O 0.8250 0.6500 0.9942  0.22
O 0.3500 0.1750 0.9942  0.22
O 0.1750 0.8250 0.4942  0.22
O 0.0000 0.0000 0.7600  0.31
O 0.0000 0.0000 0.2600  0.31
O 0.4895 0.5105 0.2727  0.12
O 0.9791 0.4895 0.7727  0.12
O 0.5105 0.0209 0.7727  0.12
O 0.4895 0.9791 0.2727  0.12
O 0.5105 0.4895 0.7727  0.12
O 0.0209 0.5105 0.2727  0.12

Raw total energy in eV per atom: -5.361
Size of the total moment in μB per formula unit: 9.028

No. 2
# Ba2AlNi3O7

Ba2AlNi3O7 after structural relaxation (PBE+U, the Alexandria database).

Cell: 3.7433 3.8468 11.4281 Å, 90.00 90.00 90.00°
Each line ends with the local moment (μB).
Atoms (fractional coordinates):
Ba 0.5000 0.5000 0.3173  0.00
Ba 0.5000 0.5000 0.6827  0.00
Al 0.5000 0.5000 0.0000  0.00
Ni 0.0000 0.0000 0.1487  1.58
Ni 0.0000 0.0000 0.8513  1.58
Ni 0.0000 0.0000 0.5000  0.07
O 0.0000 0.5000 0.5000  -0.07
O 0.5000 0.0000 0.1078  -0.05
O 0.5000 0.0000 0.8922  -0.05
O 0.0000 0.5000 0.1080  -0.04
O 0.0000 0.5000 0.8920  -0.04
O 0.0000 0.0000 0.3296  0.03
O 0.0000 0.0000 0.6704  0.03

Raw total energy in eV per atom: -5.403
Size of the total moment in μB per formula unit: 3.080

No. 3
# Ba2AlNiO4

Ba2AlNiO4 after structural relaxation (PBE+U, the Alexandria database).

Cell: 5.4947 5.4947 5.4947 Å, 103.52 112.53 112.53°
Each line ends with the local moment (μB).
Atoms (fractional coordinates):
Ba 0.5000 0.7500 0.2500  -0.01
Ba 0.0000 0.0000 0.0000  -0.01
Al 0.0000 0.5000 0.5000  0.00
Ni 0.5000 0.2500 0.7500  1.01
O 0.6592 0.4465 0.5080  0.01
O 0.0615 0.2127 0.5535  0.01
O 0.9385 0.4920 0.1512  0.01
O 0.3408 0.8488 0.7873  0.01

Raw total energy in eV per atom: -5.916
Size of the total moment in μB per formula unit: 1.000